(1)
Entry from Alexandria via LeMat-Bulk: an optimized crystal structure of Cd3In2Pd4 (GGA-PBE).

Structure (POSCAR):
```
Cd3In2Pd4
1.0
4.241 -2.181 0.000
4.241 2.181 0.000
-1.167 0.000 8.845
Cd In Pd
3 2 4
Cartesian
0.000 0.000 0.000
2.368 0.000 3.859
4.948 0.000 4.986
1.875 0.000 6.980
5.441 0.000 1.865
-0.304 0.000 2.884
2.695 0.000 0.992
4.621 0.000 7.853
7.620 0.000 5.961
```

## Properties
* DOS(E_F): 3.68 states/eV/f.u.
* mass density: 10.1 g/cm³
* electronic total energy: -3.61 eV/atom
* magnetization: 0.00 μB per formula unit
* SG: C2/m, No. 12



(2)
Entry from Alexandria via LeMat-Bulk: an optimized crystal structure of CdIn2Pd8 (GGA-PBE).

Structure (POSCAR):
```
CdIn2Pd8
1.0
7.172 -2.071 0.000
7.172 2.071 0.000
-1.894 0.000 6.145
Cd In Pd
1 2 8
Cartesian
0.000 0.000 0.000
3.354 0.000 2.100
9.095 0.000 4.045
0.485 0.000 2.824
0.821 0.000 5.604
3.601 0.000 4.951
6.080 0.000 1.695
6.369 0.000 4.450
8.848 0.000 1.194
11.628 0.000 0.541
11.964 0.000 3.321
```

## Properties
* relative energy among the computed polymorphs: 0.000 eV per atom
* DOS(E_F): 5.25 states/eV/f.u.
* mass density: 10.9 g/cm³
* electronic total energy: -4.73 eV/atom
* magnetization: 0.00 μB per formula unit
* SG: C2/m, No. 12



(3)
Entry from Alexandria via LeMat-Bulk: an optimized crystal structure of CdIn3Pd12 (GGA-PBE).

Structure (POSCAR):
```
CdIn3Pd12
1.0
4.040 0.000 0.000
0.000 4.040 0.000
0.000 0.000 16.084
Cd In Pd
1 3 12
Cartesian
0.000 0.000 0.000
0.000 0.000 4.011
0.000 0.000 8.042
0.000 0.000 12.073
0.000 2.020 2.019
0.000 2.020 6.026
0.000 2.020 10.058
0.000 2.020 14.065
2.020 0.000 2.019
2.020 0.000 6.026
2.020 0.000 10.058
2.020 0.000 14.065
2.020 2.020 0.000
2.020 2.020 4.023
2.020 2.020 8.042
2.020 2.020 12.061
```

## Properties
* DOS(E_F): 17.88 states/eV/f.u.
* mass density: 11.0 g/cm³
* electronic total energy: -4.85 eV/atom
* magnetization: 0.00 μB per formula unit
* SG: P4/mmm, No. 123



(4)
Entry from Alexandria via LeMat-Bulk: an optimized crystal structure of CdIn2Pd8 (GGA-PBE).

Structure (POSCAR):
```
CdIn2Pd8
1.0
-2.073 3.780 6.092
2.073 -3.780 6.092
2.073 3.780 -6.092
Cd In Pd
1 2 8
Cartesian
0.000 0.000 0.000
0.000 0.000 3.958
0.000 0.000 8.226
2.073 -1.805 4.102
2.073 0.000 1.946
2.073 2.060 0.000
0.000 1.975 1.990
2.073 1.805 4.102
0.000 1.720 6.092
0.000 3.780 4.146
0.000 5.585 1.990
```

## Properties
* relative energy among the computed polymorphs: 0.042 eV per atom
* DOS(E_F): 5.62 states/eV/f.u.
* mass density: 10.4 g/cm³
* electronic total energy: -4.69 eV/atom
* magnetization: 0.00 μB per formula unit
* SG: Immm, No. 71



(5)
Entry from Alexandria via LeMat-Bulk: an optimized crystal structure of Cd2InPd6 (GGA-PBE).

Structure (POSCAR):
```
Cd2InPd6
1.0
7.075 0.000 0.000
0.000 3.057 0.000
-3.519 0.000 7.457
Cd In Pd
2 1 6
Cartesian
0.001 0.000 3.315
3.554 0.000 4.142
0.000 1.528 0.000
-1.452 1.528 5.194
2.209 0.000 0.013
2.080 1.528 2.282
1.475 1.528 5.175
1.346 0.000 7.444
5.008 1.528 2.263
```

## Properties
* relative energy among the computed polymorphs: 0.135 eV per atom
* DOS(E_F): 4.57 states/eV/f.u.
* mass density: 10.1 g/cm³
* electronic total energy: -4.16 eV/atom
* magnetization: 0.00 μB per formula unit
* SG: P2/m, No. 10



(6)
Entry from Alexandria via LeMat-Bulk: an optimized crystal structure of Cd3InPd (GGA-PBE).

Structure (POSCAR):
```
Cd3InPd
1.0
5.215 0.000 0.000
0.000 5.215 0.000
0.000 0.000 5.215
Cd In Pd
3 1 1
Cartesian
0.000 0.000 2.607
0.000 2.607 0.000
2.607 0.000 0.000
2.607 2.607 2.607
0.000 0.000 0.000
```

## Properties
* relative energy among the computed polymorphs: 0.151 eV per atom
* DOS(E_F): 2.32 states/eV/f.u.
* mass density: 6.5 g/cm³
* electronic total energy: -2.09 eV/atom
* magnetization: 0.00 μB per formula unit
* SG: Pm-3m, No. 221



(7)
Entry from Alexandria via LeMat-Bulk: an optimized crystal structure of CdIn2Pd2 (GGA-PBE).

Structure (POSCAR):
```
CdIn2Pd2
1.0
4.611 0.000 0.000
-2.306 3.993 0.000
0.000 0.000 5.558
Cd In Pd
1 2 2
Cartesian
0.000 0.000 0.000
0.000 2.662 1.929
2.306 1.331 3.629
0.000 2.662 4.689
2.306 1.331 0.868
```

## Properties
* DOS(E_F): 1.78 states/eV/f.u.
* mass density: 9.0 g/cm³
* electronic total energy: -3.78 eV/atom
* magnetization: 0.00 μB per formula unit
* SG: P-3m1, No. 164



(8)
Entry from Alexandria via LeMat-Bulk: an optimized crystal structure of CdInPd6 (GGA-PBE).

Structure (POSCAR):
```
CdInPd6
1.0
5.159 0.000 0.000
-0.464 5.149 0.000
-0.440 -0.457 5.147
Cd In Pd
1 1 6
Cartesian
0.000 0.000 0.000
2.127 2.346 2.573
-0.307 2.009 3.861
0.607 4.650 2.809
1.981 3.837 0.246
2.274 0.854 4.901
3.648 0.041 2.338
4.562 2.683 1.286
```

## Properties
* DOS(E_F): 5.38 states/eV/f.u.
* mass density: 10.5 g/cm³
* electronic total energy: -4.59 eV/atom
* magnetization: 0.00 μB per formula unit
* SG: P-1, No. 2



(9)
Entry from Alexandria via LeMat-Bulk: an optimized crystal structure of Cd8InPd6 (GGA-PBE).

Structure (POSCAR):
```
Cd8InPd6
1.0
3.970 2.292 5.593
-3.970 2.292 5.593
0.000 -4.584 5.593
Cd In Pd
8 1 6
Cartesian
-2.696 -0.009 6.385
0.000 0.000 2.805
-1.340 -2.339 10.394
1.356 -2.331 6.385
-1.356 2.331 10.394
1.340 2.339 6.385
0.000 0.000 13.974
2.696 0.009 10.394
0.000 0.000 8.389
-1.302 -2.265 7.585
-2.613 -0.005 9.194
-1.311 2.260 7.585
1.311 -2.260 9.194
2.613 0.005 7.585
1.302 2.265 9.194
```

## Properties
* DOS(E_F): 7.00 states/eV/f.u.
* mass density: 9.0 g/cm³
* electronic total energy: -3.07 eV/atom
* magnetization: 0.00 μB per formula unit
* SG: R-3, No. 148



(10)
Entry from Alexandria via LeMat-Bulk: an optimized crystal structure of CdIn2Pd (GGA-PBE).

Structure (POSCAR):
```
CdIn2Pd
1.0
-2.182 2.182 9.664
2.182 -2.182 9.664
2.182 2.182 -9.664
Cd In Pd
2 4 2
Cartesian
0.000 0.000 0.000
0.000 2.182 4.832
1.091 -1.010 7.248
1.172 1.091 2.416
1.091 3.192 -2.416
1.010 1.091 12.080
2.182 0.000 4.832
0.000 0.000 9.664
```

## Properties
* DOS(E_F): 1.88 states/eV/f.u.
* mass density: 8.1 g/cm³
* electronic total energy: -2.95 eV/atom
* magnetization: 0.00 μB per formula unit
* SG: I-42d, No. 122



> Which value of mass density does entry 4 give?

10.4 g/cm³



> Among the records above, which one has the lowest electronic total energy?

CdIn3Pd12



> Which value of DOS(E_F) does entry 2 give?

5.25 states/eV/f.u.



Please write out number 2 again, unchanged.
Entry from Alexandria via LeMat-Bulk: an optimized crystal structure of CdIn2Pd8 (GGA-PBE).

Structure (POSCAR):
```
CdIn2Pd8
1.0
7.172 -2.071 0.000
7.172 2.071 0.000
-1.894 0.000 6.145
Cd In Pd
1 2 8
Cartesian
0.000 0.000 0.000
3.354 0.000 2.100
9.095 0.000 4.045
0.485 0.000 2.824
0.821 0.000 5.604
3.601 0.000 4.951
6.080 0.000 1.695
6.369 0.000 4.450
8.848 0.000 1.194
11.628 0.000 0.541
11.964 0.000 3.321
```

## Properties
* relative energy among the computed polymorphs: 0.000 eV per atom
* DOS(E_F): 5.25 states/eV/f.u.
* mass density: 10.9 g/cm³
* electronic total energy: -4.73 eV/atom
* magnetization: 0.00 μB per formula unit
* SG: C2/m, No. 12